# 1
This record from Alexandria describes an optimized crystal structure of RbZn3C. The functional is PBE-GGA.

The space group is Pm-3m (No. 221) and the conventional cell measures 4.6855, 4.6855 and 4.6855 Å, with angles of 90.00, 90.00 and 90.00 degrees. The inequivalent atoms are Rb at (0.0000, 0.0000, 0.0000), Zn at (0.0000, 0.5000, 0.5000) and C at (0.5000, 0.5000, 0.5000).

The volume is 103 Å³ per cell. Its final energy is -9.4 eV per cell.

=====

# 2
This record from Alexandria describes an optimized crystal structure of Y6Mg5Al. The functional is PBE-GGA.

The space group is Cmmm (No. 65) and the conventional cell measures 5.3182, 15.9780 and 7.5467 Å, with angles of 90.00, 90.00 and 90.00 degrees. The inequivalent atoms are Y at (0.0000, 0.0000, 0.2410), Y at (0.0000, 0.3376, 0.2444), Mg at (0.0000, 0.1683, 0.5000), Mg at (0.0000, 0.1705, 0.0000), Mg at (0.0000, 0.5000, 0.5000) and Al at (0.0000, 0.5000, 0.0000).

The volume is 641 Å³ per cell. Its final energy is -105.1 eV per cell.

=====

# 3
This record from Alexandria describes an optimized crystal structure of Ca3Mg. The functional is PBE-GGA.

The space group is Immm (No. 71) and the conventional cell measures 4.0501, 6.0206 and 12.0766 Å, with angles of 90.00, 90.00 and 90.00 degrees. The inequivalent atoms are Ca at (0.0000, 0.0000, 0.0000), Ca at (0.0000, 0.5000, 0.2254) and Mg at (0.0000, 0.0000, 0.5000).

The volume is 294 Å³ per cell. Its final energy is -15.3 eV per cell.

=====

Per-record calculated formation energy, kJ per mole of atoms: 89.8, -16.7, -0.8
Per-record calculated density, g cm⁻³: 4.74, 3.53, 1.63